Record 1
## Sc2WBr (PBE)

Data for a geometry-optimized Sc2WBr structure.

## Properties
energy relative to the elements, uncorrected = -1.9 meV/atom
polymorph energy (0 for the lowest one) = 269 meV per atom
N(E_F) = 0.39 states/eV per atom

Cell: 3.1674 4.8719 5.4164 Å, 90.00 106.74 90.00°
Last column: nearest neighbours and their distance in Å.
Positions (direct):
Sc: 0.0000 0.0000 0.0000  3 Br 2.78-2.88, 4 W 2.94-2.95
Sc: 0.2873 0.5000 0.5820  1 W 2.65, 2 Br 2.97
W: 0.5477 0.5000 0.0932  5 Sc 2.65-2.95
Br: 0.7283 0.0000 0.4638  7 Sc 2.78-2.97, 2 W 3.10

Record 2
## MnBeAlW (PBE)

Data for a geometry-optimized MnBeAlW structure.

## Properties
ΔH_f (0 K) = -0.15 eV per atom
N(E_F) = 0.18 states/eV per atom

Cell: 4.1071 4.1071 4.1071 Å, 60.00 60.00 60.00°
Last column: nearest neighbours and their distance in Å.
Positions (direct):
Mn: 0.0000 0.0000 0.0000  4 W 2.52, 4 Al 2.52
Be: 0.5000 0.5000 0.5000  4 W 2.52, 4 Al 2.52
Al: 0.7500 0.7500 0.7500  4 Be 2.52, 4 Mn 2.52
W: 0.2500 0.2500 0.2500  4 Mn 2.52, 4 Be 2.52

How do the records compare in density? In the order shown, they have 7.34 9.31 g/cm³.